This record from OQMD via LeMat-Bulk describes DyHoGe2Au2 after structural relaxation. The functional is PBE.

Structure (CIF):
```
data_DyHoGe2Au2
_chemical_formula_sum 'Dy1 Ho1 Ge2 Au2'
_cell_length_a 4.4759
_cell_length_b 4.4759
_cell_length_c 7.2574
_cell_angle_alpha 90.00
_cell_angle_beta 90.00
_cell_angle_gamma 120.00
_symmetry_space_group_name_H-M 'P 3 m 1'
_symmetry_Int_Tables_number 156
loop_
_symmetry_equiv_pos_as_xyz
'x,y,z'
'-y,x-y,z'
'-x+y,-x,z'
'-y,-x,z'
'-x+y,y,z'
'x,x-y,z'
loop_
_atom_site_label
_atom_site_type_symbol
_atom_site_fract_x
_atom_site_fract_y
_atom_site_fract_z
Dy1 Dy 0.0000 0.0000 0.0000
Ho1 Ho 0.0000 0.0000 0.4999
Ge1 Ge 0.3333 0.6667 0.2069
Ge2 Ge 0.6667 0.3333 0.7066
Au1 Au 0.3333 0.6667 0.7949
Au2 Au 0.6667 0.3333 0.2957
```

Total DFT energy (no corrections) in eV/atom: -4.99
Calculated volume in Å³/cell: 125.9
Crystal system: trigonal
Total magnetization in μB per formula unit: 0.00

This record from OQMD via LeMat-Bulk describes BaSi2Ni2Pt after structural relaxation. The functional is PBE.

Structure (CIF):
```
data_BaSi2Ni2Pt
_chemical_formula_sum 'Ba1 Si2 Ni2 Pt1'
_cell_length_a 3.595
_cell_length_b 3.595
_cell_length_c 8.316
_cell_angle_alpha 90.00
_cell_angle_beta 90.00
_cell_angle_gamma 90.00
_symmetry_space_group_name_H-M 'P 4 m m'
_symmetry_Int_Tables_number 99
loop_
_symmetry_equiv_pos_as_xyz
'x,y,z'
'-y,x,z'
'-x,-y,z'
'y,-x,z'
'-x,y,z'
'y,x,z'
'x,-y,z'
'-y,-x,z'
loop_
_atom_site_label
_atom_site_type_symbol
_atom_site_fract_x
_atom_site_fract_y
_atom_site_fract_z
Ba1 Ba 0.000 0.000 0.000
Si1 Si 0.000 0.000 0.608
Si2 Si 0.500 0.500 0.252
Ni1 Ni 0.000 0.500 0.418
Pt1 Pt 0.500 0.500 0.671
```

Total DFT energy (no corrections) in eV/atom: -5.48
Calculated volume in Å³/cell: 107.5
Crystal system: tetragonal
Total magnetization in μB per formula unit: 0.00

This record from OQMD via LeMat-Bulk describes NaPuIn after structural relaxation. The functional is PBE.

Structure (CIF):
```
data_NaPuIn
_chemical_formula_sum 'Na4 Pu4 In4'
_cell_length_a 7.388
_cell_length_b 7.388
_cell_length_c 7.388
_cell_angle_alpha 90.00
_cell_angle_beta 90.00
_cell_angle_gamma 90.00
_symmetry_space_group_name_H-M 'F -4 3 m'
_symmetry_Int_Tables_number 216
_symmetry_space_group_name_Hall 'F -4 2 3'
loop_
_atom_site_label
_atom_site_type_symbol
_atom_site_fract_x
_atom_site_fract_y
_atom_site_fract_z
Na1 Na 0.000 0.000 0.000
Pu1 Pu 0.000 0.000 0.500
In1 In 0.250 0.250 0.250
```

Total DFT energy (no corrections) in eV/atom: -5.72
Calculated volume in Å³/cell: 403.2
Crystal system: cubic
Total magnetization in μB per formula unit: 6.55

This record from OQMD via LeMat-Bulk describes Li2Te3Pd2 after structural relaxation. The functional is PBE.

Structure (CIF):
```
data_Li2Te3Pd2
_chemical_formula_sum 'Li6 Te9 Pd6'
_cell_length_a 6.5807
_cell_length_b 6.5807
_cell_length_c 13.6529
_cell_angle_alpha 90.00
_cell_angle_beta 90.00
_cell_angle_gamma 120.00
_symmetry_space_group_name_H-M 'R -3 m'
_symmetry_Int_Tables_number 166
_symmetry_space_group_name_Hall '-R 3 2"'
loop_
_atom_site_label
_atom_site_type_symbol
_atom_site_fract_x
_atom_site_fract_y
_atom_site_fract_z
Li1 Li 0.0000 0.0000 0.0000
Li2 Li 0.0000 0.0000 0.5000
Te1 Te 0.0000 0.5000 0.0000
Pd1 Pd 0.0000 0.0000 0.1931
```

Energy relative to the lowest polymorph listed for this composition in meV per atom: 437
Calculated volume in Å³/cell: 512.0
Crystal system: trigonal